No. 1
This record from Alexandria via LeMat-Bulk describes an optimized crystal structure of Tl2InW. The functional is GGA-PBE.

Properties
Raw total energy, eV per cell: -17.09
Offset from the most stable computed form, meV/atom: 217.1
Total magnetic moment, μB per formula unit: 0.00

abc: 3.065 5.472 5.414
angles: 90.00 91.41 90.00
Fractional coordinates of all 4 atoms:
Tl: 0.233 0.000 0.245
Tl: 0.767 0.000 0.755
In: 0.500 0.500 0.500
W: 0.000 0.500 0.000



No. 2
This record from Alexandria via LeMat-Bulk describes an optimized crystal structure of Tm8OsRu5. The functional is GGA-PBE.

Properties
Raw total energy, eV per cell: -96.09
Total magnetic moment, μB per formula unit: 0.00

abc: 7.294 7.294 7.294
angles: 109.07 109.07 110.29
Fractional coordinates of all 14 atoms:
Tm: 0.030 0.171 0.771
Tm: 0.265 0.499 0.593
Tm: 0.328 0.735 0.234
Tm: 0.400 0.259 0.229
Tm: 0.501 0.094 0.766
Tm: 0.741 0.970 0.141
Tm: 0.829 0.600 0.859
Tm: 0.906 0.672 0.407
Os: 0.500 0.500 0.000
Ru: 0.181 0.058 0.411
Ru: 0.230 0.819 0.877
Ru: 0.647 0.770 0.589
Ru: 0.750 0.250 0.500
Ru: 0.942 0.353 0.123